No. 1
Compound: SrInAgBi
Source: the Alexandria database
Functional: GGA-PBE
Structure: relaxed

For the electronic total energy, the calculation gives -3.017 eV per atom. For the size of the total moment, the calculation gives 0.000 μB/cell. As for the formation energy: -0.23 eV per atom. Its volume is 29.487 Å³ per atom.

The structure belongs to space group F-43m (No. 216); the cell edges are 7.785, 7.785 and 7.785 Å and the angles 90.00°, 90.00° and 90.00°. The inequivalent atoms are Sr at (0.000, 0.000, 0.000), In at (0.000, 0.000, 0.500), Ag at (0.250, 0.250, 0.250) and Bi at (0.250, 0.250, 0.750).

---

No. 2
Compound: Tl2MoAs
Source: the Alexandria database
Functional: GGA-PBE
Structure: relaxed

For the electronic total energy, the calculation gives -4.127 eV per atom. For the size of the total moment, the calculation gives 12.111 μB/cell. As for the formation energy: 0.93 eV per atom. For the polymorph energy (0 for the lowest one), the calculation gives 759 meV per atom. Its volume is 23.057 Å³ per atom.

The structure belongs to space group Fm-3m (No. 225); the cell edges are 7.172, 7.172 and 7.172 Å and the angles 90.00°, 90.00° and 90.00°. The inequivalent atoms are Tl at (0.250, 0.250, 0.250), Mo at (0.000, 0.000, 0.000) and As at (0.000, 0.000, 0.500).

---

- Which formula does entry 2 have?
  Tl2MoAs